No. 1
A relaxed structure of Ga2OsF. Source: the Alexandria database, functional PBE.

Results
* DOS at the Fermi energy: 1.25 states/eV per atom
* calculated density: 9.99 Mg/m³
* polymorph energy (0 for the lowest one): 0.0 meV/atom
* formation energy (no corrections): -0.062 eV/atom
* SG: Fm-3m

The structure in POSCAR format:
```
Ga2OsF
1.0
6.143 0.000 0.000
0.000 6.143 0.000
0.000 0.000 6.143
Ga Os F
8 4 4
Cartesian
1.536 1.536 1.536
1.536 1.536 4.607
1.536 4.607 1.536
1.536 4.607 4.607
4.607 1.536 1.536
4.607 1.536 4.607
4.607 4.607 1.536
4.607 4.607 4.607
0.000 0.000 0.000
0.000 3.072 3.072
3.072 0.000 3.072
3.072 3.072 0.000
0.000 0.000 3.072
0.000 3.072 0.000
3.072 0.000 0.000
3.072 3.072 3.072
```

***

No. 2
A relaxed structure of Sr2TmCu3O6. Source: the Alexandria database, functional PBE.

Results
* DOS at the Fermi energy: 0.18 states/eV per atom
* calculated density: 6.24 Mg/m³
* formation energy (no corrections): -1.916 eV/atom
* SG: P4/mmm

The structure in POSCAR format:
```
Sr2TmCu3O6
1.0
3.797 0.000 0.000
0.000 3.797 0.000
0.000 0.000 11.643
Sr Tm Cu O
2 1 3 6
Cartesian
0.000 0.000 2.313
0.000 0.000 9.330
0.000 0.000 5.821
1.898 1.898 0.000
1.898 1.898 4.179
1.898 1.898 7.464
0.000 1.898 4.399
0.000 1.898 7.244
1.898 0.000 4.399
1.898 0.000 7.244
1.898 1.898 1.820
1.898 1.898 9.823
```

***

No. 3
A relaxed structure of LaCoSi4. Source: the Alexandria database, functional PBE.

Results
* DOS at the Fermi energy: 0.57 states/eV per atom
* calculated density: 5.00 Mg/m³
* formation energy (no corrections): 0.139 eV/atom
* SG: F-43m

The structure in POSCAR format:
```
LaCoSi4
1.0
0.000 3.721 3.721
3.721 0.000 3.721
3.721 3.721 0.000
La Co Si
1 1 4
Cartesian
0.000 0.000 0.000
1.861 1.861 1.861
4.627 2.815 2.815
2.815 4.627 2.815
2.815 2.815 4.627
4.627 4.627 4.627
```

***

No. 4
A relaxed structure of TbInPd. Source: the Alexandria database, functional PBE.

Results
* DOS at the Fermi energy: 0.63 states/eV per atom
* calculated density: 9.39 Mg/m³
* E_form: -790.7 meV/atom
* SG: Pmma

The structure in POSCAR format:
```
TbInPd
1.0
13.581 0.000 0.000
0.000 3.779 0.000
0.000 0.000 7.861
Tb In Pd
6 6 6
Cartesian
0.650 0.000 1.764
3.395 0.000 6.609
6.141 0.000 1.764
7.440 0.000 6.097
10.186 0.000 1.251
12.931 0.000 6.097
1.522 1.889 4.458
3.395 1.889 1.482
5.268 1.889 4.458
8.313 1.889 3.403
10.186 1.889 6.378
12.059 1.889 3.403
1.315 1.889 7.343
3.395 0.000 3.540
5.476 1.889 7.343
8.105 1.889 0.517
10.186 0.000 4.321
12.266 1.889 0.517
```

***

No. 5
A relaxed structure of ZrReNi2. Source: the Alexandria database, functional PBE.

Results
* DOS at the Fermi energy: 1.11 states/eV per atom
* calculated density: 10.99 Mg/m³
* E_form: 155.8 meV/atom
* polymorph energy (0 for the lowest one): 266.9 meV/atom
* SG: F-43m

The structure in POSCAR format:
```
ZrReNi2
1.0
6.203 0.000 0.000
0.000 6.203 0.000
0.000 0.000 6.203
Zr Re Ni
4 4 8
Cartesian
0.000 0.000 0.000
0.000 3.102 3.102
3.102 0.000 3.102
3.102 3.102 0.000
1.551 1.551 1.551
1.551 4.652 4.652
4.652 1.551 4.652
4.652 4.652 1.551
0.000 0.000 3.102
0.000 3.102 0.000
1.551 1.551 4.652
1.551 4.652 1.551
3.102 0.000 0.000
3.102 3.102 3.102
4.652 1.551 1.551
4.652 4.652 4.652
```

***

No. 6
A relaxed structure of P2PbBr. Source: the Alexandria database, functional PBE.

Results
* DOS at the Fermi energy: 0.99 states/eV per atom
* calculated density: 4.80 Mg/m³
* polymorph energy (0 for the lowest one): 832.7 meV/atom
* formation energy (no corrections): 0.702 eV/atom
* SG: I-42d

The structure in POSCAR format:
```
P2PbBr
1.0
6.949 0.000 0.000
0.000 6.949 0.000
0.000 0.000 10.010
P Pb Br
8 4 4
Cartesian
1.647 1.737 1.251
1.737 5.121 3.754
1.737 5.302 8.759
1.828 1.737 6.256
5.121 5.212 6.256
5.212 1.647 8.759
5.212 1.828 3.754
5.302 5.212 1.251
0.000 0.000 0.000
0.000 3.475 2.503
3.475 0.000 7.508
3.475 3.475 5.005
0.000 0.000 5.005
0.000 3.475 7.508
3.475 0.000 2.503
3.475 3.475 0.000
```